Material: Ce3Pa3BeN8
Method: DFT, GGA-PBE
State: relaxed

Results
* calculated total energy: -8.9422 eV/atom
* formation energy from raw total energies: -1167.6 meV per atom

Cell: 6.835 6.835 6.939 Å, 119.51 90.00 120.00°
Last column: magnetic moment on the atom in μB.
Sites, in units of the cell vectors:
Ce1 0.000 0.000 0.000  0.38
Ce2 0.000 0.500 0.000  0.38
Ce3 0.500 0.500 0.000  0.38
Pa1 0.500 0.000 0.500  0.07
Pa2 0.500 0.500 0.500  0.07
Pa3 0.000 0.500 0.500  0.07
Be1 0.000 0.000 0.500  0.00
N1 0.256 0.512 0.268  -0.01
N2 0.744 0.488 0.732  -0.01
N3 0.770 0.540 0.289  -0.01
N4 0.230 0.460 0.711  -0.01
N5 0.770 0.019 0.289  -0.01
N6 0.230 0.981 0.711  -0.01
N7 0.249 0.019 0.289  -0.01
N8 0.751 0.981 0.711  -0.01

=====

Material: Cs2Pb2I5
Method: DFT, GGA-PBE
State: relaxed

Results
* energy relative to the lowest polymorph listed for this composition: 0.000 eV per formula unit
* calculated total energy: -2.8119 eV/atom
* formation energy from raw total energies: -937.0 meV per atom

Cell: 6.444 6.444 10.271 Å, 90.00 90.00 90.00°
Sites, in units of the cell vectors:
Cs1 0.037 0.037 0.000
Cs2 0.036 0.036 0.500
Pb1 0.538 0.538 0.183
Pb2 0.538 0.538 0.817
I1 0.038 0.537 0.779
I2 0.537 0.038 0.221
I3 0.537 0.038 0.779
I4 0.038 0.537 0.221
I5 0.538 0.538 0.500

=====

Material: BaYIr3
Method: DFT, GGA-PBE
State: relaxed

Results
* energy relative to the lowest polymorph listed for this composition: 3.928 eV per formula unit
* calculated total energy: -5.1950 eV/atom
* ΔE_f: 1.80 eV/atom

Cell: 5.072 5.072 5.072 Å, 90.00 90.00 90.00°
Sites, in units of the cell vectors:
Y1 0.500 0.500 0.500
Ir1 0.000 0.500 0.000
Ir2 0.000 0.000 0.500
Ir3 0.500 0.000 0.000
Ba1 0.000 0.000 0.000

=====

Material: Ba2ScNb3O12
Method: DFT, GGA-PBE
State: relaxed

Results
* calculated total energy: -8.0588 eV/atom
* formation energy from raw total energies: -2509.7 meV per atom

Cell: 7.464 7.464 7.464 Å, 61.44 61.44 61.44°
Last column: magnetic moment on the atom in μB.
Sites, in units of the cell vectors:
Ba1 0.676 0.676 0.676  -0.01
Ba2 0.324 0.324 0.324  -0.01
Sc1 0.000 0.000 0.000  -0.03
Nb1 0.500 0.000 0.000  -0.05
Nb2 0.000 0.500 0.000  -0.05
Nb3 0.000 0.000 0.500  -0.05
O1 0.309 0.309 0.944  0.10
O2 0.919 0.919 0.336  0.23
O3 0.336 0.919 0.919  0.23
O4 0.944 0.309 0.309  0.10
O5 0.919 0.336 0.919  0.23
O6 0.309 0.944 0.309  0.10
O7 0.691 0.691 0.056  0.10
O8 0.081 0.081 0.664  0.23
O9 0.664 0.081 0.081  0.23
O10 0.056 0.691 0.691  0.10
O11 0.081 0.664 0.081  0.23
O12 0.691 0.056 0.691  0.10

=====

| no. | M_tot (μB per formula unit) |
| --- | --- |
| 1 | 1.462 |
| 2 | 0.000 |
| 3 | 0.000 |
| 4 | 2.107 |